A plane-wave DFT calculation with PBE+U was carried out for HfMnV2O after structural relaxation.

abc: 4.924 4.924 5.023
angles: 90.00 90.00 90.00
Fractional positions:
Hf1 0.000 0.000 0.000
Mn1 0.000 0.000 0.500
V1 0.000 0.500 0.000
V2 0.500 0.000 0.000
O1 0.500 0.500 0.500

Values from the calculation:
magnetization = 9.77 μB/cell
space group = P4/mmm (123)
mass density = 4.8 Mg/m³
total DFT energy (no corrections) = -0.1891 Ha/atom